First-principles (PBE) data for crystalline BaTa3Nb at its relaxed geometry, as listed in Alexandria via LeMat-Bulk.

Computed properties:
* space-group type: No. 221
* DFT formation energy: 1.401 eV/atom
* excess energy over the best structure of this formula in the dataset: 0 meV/atom

Lattice parameters (Å, degrees): 5.0893 5.0893 5.0893 90.00 90.00 90.00
Sites, in units of the cell vectors:
Nb 0.0000 0.0000 0.0000
Ba 0.5000 0.5000 0.5000
Ta 0.0000 0.5000 0.0000
Ta 0.0000 0.0000 0.5000
Ta 0.5000 0.0000 0.0000